This record from OQMD describes a relaxed YEr2Mg3AgHg2 crystal. The functional is PBE.

space-group type = Amm2 (38)
uncorrected energy = -3.001 eV per atom
size of the total moment = 0.002 μB per atom

The structure in extended XYZ format:
```
9
Lattice="4.1343 0.0000 0.0000 0.0000 6.7234 3.8663 0.0000 -6.7234 3.8663" Properties=species:S:1:pos:R:3 pbc="T T T"
Ag 0.0000 0.0000 7.7210
Er 0.0000 -3.9697 2.2839
Er 0.0000 3.9697 2.2839
Mg 2.0672 0.0000 5.8318
Mg 2.0672 5.0671 4.8158
Mg 2.0672 -5.0671 4.8158
Hg 2.0672 2.2573 3.8701
Hg 2.0672 -2.2573 3.8701
Y 0.0000 0.0000 3.1701
```